No. 1
Compound: Tb2SmRh2
Source: the Alexandria database
Functional: PBE
Structure: optimized geometry

The calculation puts the energy of formation at -0.59 eV/atom. Its energy above the most stable polymorph in this dataset is 0 meV per atom. For the size of the total moment, the calculation gives 0.000 μB per cell.

It has space group Cmcm (No. 63), with a = 3.829 Å, b = 26.486 Å, c = 4.688 Å, α = 90.00°, β = 90.00° and γ = 90.00°. The asymmetric unit holds Tb at (0.000, 0.051, 0.250), Tb at (0.000, 0.265, 0.750), Sm at (0.000, 0.364, 0.250), Rh at (0.000, 0.161, 0.250) and Rh at (0.000, 0.467, 0.250).

No. 2
Compound: FeReP3
Source: the Alexandria database
Functional: PBE
Structure: optimized geometry

The calculation puts the energy of formation at 1.07 eV/atom. For the size of the total moment, the calculation gives 0.001 μB per cell.

It has space group Pm-3m (No. 221), with a = 4.240 Å, b = 4.240 Å, c = 4.240 Å, α = 90.00°, β = 90.00° and γ = 90.00°. The asymmetric unit holds Fe at (0.000, 0.000, 0.000), Re at (0.500, 0.500, 0.500) and P at (0.000, 0.000, 0.500).

No. 3
Compound: BC2
Source: the Alexandria database
Functional: PBE
Structure: optimized geometry

The calculation puts the energy of formation at 0.29 eV/atom. Its energy above the most stable polymorph in this dataset is 51 meV per atom. For the size of the total moment, the calculation gives 0.000 μB per cell.

It has space group P3m1 (No. 156), with a = 2.6250 Å, b = 2.6250 Å, c = 14.2414 Å, α = 90.00°, β = 90.00° and γ = 120.00°. The asymmetric unit holds B at (0.0000, 0.0000, 0.0000), B at (0.0000, 0.0000, 0.2476), B at (0.6667, 0.3333, 0.5294), B at (0.6667, 0.3333, 0.8729), C at (0.0000, 0.0000, 0.5769), C at (0.0000, 0.0000, 0.6814), C at (0.3333, 0.6667, 0.2632), C at (0.3333, 0.6667, 0.3805), C at (0.3333, 0.6667, 0.7210), C at (0.3333, 0.6667, 0.8258), C at (0.6667, 0.3333, 0.4157) and C at (0.6667, 0.3333, 0.9892).

No. 4
Compound: LaH2I4
Source: the Alexandria database
Functional: PBE
Structure: optimized geometry

For the energy, the calculation gives -42.1 eV/cell. For the size of the total moment, the calculation gives 1.819 μB per cell.

It has space group Cmmm (No. 65), with a = 4.955 Å, b = 15.914 Å, c = 6.221 Å, α = 90.00°, β = 90.00° and γ = 90.00°. The asymmetric unit holds La at (0.000, 0.000, 0.000), H at (0.000, 0.217, 0.500), I at (0.000, 0.106, 0.500) and I at (0.000, 0.370, 0.000).

No. 5
Compound: Cd3In7Sn
Source: the Alexandria database
Functional: PBE
Structure: optimized geometry

The calculation puts the energy of formation at 0.15 eV/atom. For the size of the total moment, the calculation gives 0.000 μB per cell.

It has space group C2/m (No. 12), with a = 10.296 Å, b = 10.539 Å, c = 7.851 Å, α = 90.00°, β = 126.88° and γ = 90.00°. The asymmetric unit holds Cd at (0.000, 0.000, 0.000), Cd at (0.000, 0.227, 0.500), In at (0.000, 0.500, 0.500), In at (0.139, 0.245, 0.250), In at (0.144, 0.000, 0.778) and Sn at (0.000, 0.500, 0.000).

No. 6
Compound: Nb2Bi2PbO9
Source: the Alexandria database
Functional: PBE
Structure: optimized geometry

Its energy above the most stable polymorph in this dataset is 0 meV per atom. For the size of the total moment, the calculation gives 0.000 μB per cell.

It has space group Cmc2_1 (No. 36), with a = 25.446 Å, b = 5.665 Å, c = 5.720 Å, α = 90.00°, β = 90.00° and γ = 90.00°. The asymmetric unit holds Nb at (0.084, 0.249, 0.000), Bi at (0.201, 0.285, 0.408), Pb at (0.000, 0.247, 0.479), O at (0.000, 0.200, 0.049), O at (0.069, 0.481, 0.767), O at (0.087, 0.026, 0.305), O at (0.156, 0.325, 0.039) and O at (0.249, 0.020, 0.201).

No. 7
Compound: La2Sn3Au5
Source: the Alexandria database
Functional: PBE
Structure: optimized geometry

The calculation puts the energy of formation at -0.60 eV/atom. Its energy above the most stable polymorph in this dataset is 0 meV per atom. For the size of the total moment, the calculation gives 0.000 μB per cell.

It has space group C2/c (No. 15), with a = 13.072 Å, b = 12.968 Å, c = 6.674 Å, α = 90.00°, β = 120.45° and γ = 90.00°. The asymmetric unit holds La at (0.235, 0.129, 0.245), Sn at (0.000, 0.492, 0.750), Sn at (0.123, 0.132, 0.649), Au at (0.000, 0.013, 0.250), Au at (0.000, 0.249, 0.250), Au at (0.000, 0.274, 0.750) and Au at (0.146, 0.384, 0.174).

No. 8
Compound: NaZrScMn2
Source: the Alexandria database
Functional: PBE
Structure: optimized geometry

The calculation puts the energy of formation at 1.16 eV/atom. For the size of the total moment, the calculation gives 5.046 μB per cell.

It has space group P4/mmm (No. 123), with a = 4.620 Å, b = 4.620 Å, c = 4.830 Å, α = 90.00°, β = 90.00° and γ = 90.00°. The asymmetric unit holds Na at (0.000, 0.000, 0.000), Zr at (0.500, 0.500, 0.000), Sc at (0.000, 0.000, 0.500) and Mn at (0.000, 0.500, 0.500).